Below is a relaxed structure of Sr2Sm2O5, with properties calculated at the GGA-PBE level.

Results
* VASP energy: -6.306 eV/atom

Geometry as CIF:
```
data_Sr2Sm2O5
_chemical_formula_sum 'Sr2 Sm2 O5'
_cell_length_a 4.305
_cell_length_b 4.305
_cell_length_c 8.661
_cell_angle_alpha 90.00
_cell_angle_beta 90.00
_cell_angle_gamma 90.00
_space_group_name_H-M_alt 'P 4/m m m'
_space_group_IT_number 123
_space_group_name_Hall '-P 4 2'
loop_
_atom_site_label
_atom_site_fract_x
_atom_site_fract_y
_atom_site_fract_z
_atom_site_occupancy
Sr1 0.000 0.000 0.233 1
Sm1 0.500 0.500 0.000 1
Sm2 0.500 0.500 0.500 1
O1 0.000 0.000 0.500 1
O2 0.000 0.500 0.153 1
```